Below is an optimized crystal structure of LiSmW2O8, with properties calculated at the GGA+U level.

Results
Calculated total energy, eV/atom: -7.46
Calculated volume, Å³/f.u.: 159

abc: 7.151 7.435 7.498
angles: 113.90 115.69 91.23
Sites, in units of the cell vectors:
W  0.350  0.895  0.713
O  0.447  0.540  0.249
O  0.132  0.988  0.800
Sm  0.185  0.289  0.465
O  0.818  0.641  0.196
O  0.614  0.824  0.734
Li  0.741  0.333  0.993
W  0.742  0.708  0.968
O  0.182  0.359  0.804
Sm  0.815  0.711  0.535
Li  0.259  0.667  0.007
O  0.553  0.460  0.751
O  0.868  0.012  0.200
O  0.481  0.828  0.007
O  0.386  0.176  0.266
O  0.824  0.362  0.441
O  0.710  0.005  0.482
W  0.258  0.292  0.032
O  0.039  0.308  0.098
O  0.176  0.638  0.559
O  0.519  0.172  0.993
O  0.961  0.692  0.902
W  0.650  0.105  0.287
O  0.290  0.995  0.518